1.
Crystalline Pm2Ga3Pt4Rh at its relaxed geometry. Source: Alexandria, functional PBE-GGA.

Cell lengths 4.085, 4.085, 11.398 Å; angles 90.00, 90.00, 90.00 degrees
Positions (direct):
Pm1 0.500 0.000 0.256
Pm2 0.000 0.500 0.744
Ga1 0.000 0.000 0.500
Ga2 0.500 0.000 0.868
Ga3 0.000 0.500 0.132
Pt1 0.500 0.500 0.000
Pt2 0.000 0.000 0.000
Pt3 0.500 0.000 0.652
Pt4 0.000 0.500 0.348
Rh1 0.500 0.500 0.500

## Properties
VASP energy: -5.8889 eV/atom

2.
Crystalline PmGa5Pt2Rh at its relaxed geometry. Source: Alexandria, functional PBE-GGA.

Cell lengths 4.271, 4.271, 10.207 Å; angles 90.00, 90.00, 90.00 degrees
Positions (direct):
Pm1 0.000 0.000 0.500
Ga1 0.000 0.500 0.141
Ga2 0.500 0.000 0.141
Ga3 0.000 0.500 0.859
Ga4 0.500 0.000 0.859
Ga5 0.500 0.500 0.500
Pt1 0.500 0.500 0.269
Pt2 0.500 0.500 0.731
Rh1 0.000 0.000 0.000

## Properties
VASP energy: -4.8601 eV/atom

3.
Crystalline Pm2Ga4Pt3Rh at its relaxed geometry. Source: Alexandria, functional PBE-GGA.

Cell lengths 4.267, 4.267, 10.462 Å; angles 90.00, 90.00, 90.00 degrees
Positions (direct):
Pm1 0.500 0.000 0.252
Pm2 0.000 0.500 0.748
Ga1 0.500 0.500 0.000
Ga2 0.000 0.000 0.000
Ga3 0.500 0.000 0.628
Ga4 0.000 0.500 0.372
Pt1 0.000 0.000 0.500
Pt2 0.500 0.000 0.866
Pt3 0.000 0.500 0.134
Rh1 0.500 0.500 0.500

## Properties
VASP energy: -5.6595 eV/atom

4.
Crystalline Pm2Ga4PtRh3 at its relaxed geometry. Source: Alexandria, functional PBE-GGA.

Cell lengths 4.268, 4.268, 10.270 Å; angles 90.00, 90.00, 90.00 degrees
Positions (direct):
Pm1 0.500 0.000 0.255
Pm2 0.000 0.500 0.745
Ga1 0.500 0.500 0.000
Ga2 0.000 0.000 0.000
Ga3 0.500 0.000 0.632
Ga4 0.000 0.500 0.368
Pt1 0.500 0.500 0.500
Rh1 0.000 0.000 0.500
Rh2 0.500 0.000 0.871
Rh3 0.000 0.500 0.129

## Properties
VASP energy: -5.8135 eV/atom